BaCaTc2: relaxed, GGA-PBEsol.

Cell and atoms, written as POSCAR:
```
BaCaTc2
1.0
-1.823 -0.321 2.645
-2.329 -1.365 -1.771
3.765 -8.437 1.550
Ca Ba Tc
1 1 2
direct
0.502 0.500 0.170
0.998 0.000 0.559
0.001 0.000 0.944
0.500 0.500 0.827
```

Summary:
mass density: 6.35 Mg/m³
E_form: 0.4085 eV/atom
Fermi-level density of states: 0.895 states/eV/atom
space-group type: Pm
distance to the lowest polymorph of the same formula: 0 meV per atom


SrYSi2: relaxed, GGA-PBEsol.

Cell and atoms, written as POSCAR:
```
SrYSi2
1.0
-4.879 1.348 -0.080
-0.042 -0.451 -5.042
-0.067 -9.547 3.395
Y Sr Si
2 2 4
direct
0.250 0.750 0.500
0.000 0.000 0.000
0.750 0.250 0.500
0.500 0.500 0.000
0.229 0.875 0.250
0.021 0.375 0.250
0.125 0.979 0.750
0.625 0.771 0.750
```

Summary:
mass density: 3.18 Mg/m³
Fermi-level density of states: 0.833 states/eV/atom
space-group type: I-42d
energy relative to the elements, uncorrected: 116 meV/atom
distance to the lowest polymorph of the same formula: 607 meV per atom


MnFe2Co: relaxed, GGA-PBEsol.

Cell and atoms, written as POSCAR:
```
MnFe2Co
1.0
3.943 0.000 0.000
1.971 3.415 0.000
1.971 1.138 3.219
Mn Co Fe
1 1 2
direct
0.250 0.250 0.250
0.500 0.500 0.500
0.000 0.000 0.000
0.750 0.750 0.750
```

Summary:
mass density: 8.64 Mg/m³
E_form: 0.0834 eV/atom
Fermi-level density of states: 0.893 states/eV/atom
space-group type: F-43m


BaLaZn2Ru: relaxed, GGA-PBEsol.

Cell and atoms, written as POSCAR:
```
BaLaZn2Ru
1.0
-3.920 2.880 -1.330
-3.368 -3.678 1.962
0.151 2.413 4.783
Ru Zn Ba La
1 2 1 1
direct
0.500 0.000 0.000
0.000 0.000 0.500
0.000 0.500 0.000
0.000 0.000 0.000
0.500 0.500 0.500
```

Summary:
mass density: 5.83 Mg/m³
E_form: 1.0882 eV/atom
Fermi-level density of states: 0.826 states/eV/atom
space-group type: P4/mmm


Ta5Mo3: relaxed, GGA-PBEsol.

Cell and atoms, written as POSCAR:
```
Ta5Mo3
1.0
-5.203 -1.626 -0.790
2.522 -3.668 3.244
0.026 5.040 2.500
Mo Ta
3 5
direct
0.000 0.000 0.000
0.500 0.500 0.500
0.000 0.000 0.500
0.500 0.500 0.000
0.000 0.500 0.000
0.500 0.000 0.500
0.000 0.500 0.500
0.500 0.000 0.000
```

Summary:
mass density: 14.91 Mg/m³
E_form: -0.0793 eV/atom
Fermi-level density of states: 1.057 states/eV/atom
space-group type: Fmmm
distance to the lowest polymorph of the same formula: 53 meV per atom


LaScP2: relaxed, GGA-PBEsol.

Cell and atoms, written as POSCAR:
```
LaScP2
1.0
-2.267 0.749 2.662
-2.743 -3.132 -1.454
2.421 -3.539 3.057
La P Sc
1 2 1
direct
0.500 0.000 0.500
0.000 0.000 0.000
0.000 0.500 0.500
0.500 0.500 0.000
```

Summary:
mass density: 4.92 Mg/m³
E_form: -1.0150 eV/atom
Fermi-level density of states: 0.306 states/eV/atom
space-group type: Pmmm
distance to the lowest polymorph of the same formula: 465 meV per atom


Be2AlRe: relaxed, GGA-PBEsol.

Cell and atoms, written as POSCAR:
```
Be2AlRe
1.0
2.665 0.000 0.000
0.000 3.147 0.000
0.000 0.000 5.563
Re Al Be
1 1 2
direct
0.000 0.000 0.469
0.500 0.500 0.763
0.000 0.000 0.041
0.500 0.500 0.227
```

Summary:
mass density: 8.23 Mg/m³
E_form: 0.1085 eV/atom
Fermi-level density of states: 0.586 states/eV/atom
space-group type: Pmm2


CdSb3S: relaxed, GGA-PBEsol.

Cell and atoms, written as POSCAR:
```
CdSb3S
1.0
5.155 0.000 0.000
0.000 5.155 0.000
0.000 0.000 5.155
Sb S Cd
3 1 1
direct
0.000 0.500 0.000
0.000 0.000 0.500
0.500 0.000 0.000
0.000 0.000 0.000
0.500 0.500 0.500
```

Summary:
mass density: 6.18 Mg/m³
Fermi-level density of states: 0.849 states/eV/atom
space-group type: Pm-3m
energy relative to the elements, uncorrected: 490 meV/atom


LiZnPt2: relaxed, GGA-PBEsol.

Cell and atoms, written as POSCAR:
```
LiZnPt2
1.0
-1.997 0.211 -1.988
-1.749 -1.546 1.592
-2.303 5.604 2.909
Zn Pt Li
1 2 1
direct
0.500 0.500 0.000
0.000 0.000 0.747
0.000 0.000 0.253
0.500 0.500 0.500
```

Summary:
mass density: 14.31 Mg/m³
E_form: -0.5013 eV/atom
Fermi-level density of states: 0.290 states/eV/atom
space-group type: P4/mmm


Fe5Si: relaxed, GGA-PBEsol.

Cell and atoms, written as POSCAR:
```
Fe5Si
1.0
-0.772 2.358 1.259
-2.492 -1.109 0.550
2.868 -2.889 7.172
Fe Si
5 1
direct
0.000 0.000 0.838
0.000 0.000 0.162
0.500 0.500 0.669
0.500 0.500 0.331
0.000 0.000 0.500
0.500 0.500 0.000
```

Summary:
mass density: 8.00 Mg/m³
Fermi-level density of states: 1.203 states/eV/atom
space-group type: P4/mmm
energy relative to the elements, uncorrected: -173 meV/atom
distance to the lowest polymorph of the same formula: 26 meV per atom


TiPtAu3: relaxed, GGA-PBEsol.

Cell and atoms, written as POSCAR:
```
TiPtAu3
1.0
-2.124 -4.106 -1.725
3.034 -2.733 2.770
-3.261 0.131 3.702
Au Pt Ti
3 1 1
direct
0.000 0.500 0.000
0.000 0.000 0.500
0.500 0.000 0.000
0.000 0.000 0.000
0.500 0.500 0.500
```

Summary:
mass density: 11.52 Mg/m³
E_form: 0.9922 eV/atom
Fermi-level density of states: 1.958 states/eV/atom
space-group type: Pm-3m


Ta2ReSnIr: relaxed, GGA-PBEsol.

Cell and atoms, written as POSCAR:
```
Ta2ReSnIr
1.0
4.750 0.000 0.000
0.000 4.750 0.000
0.000 0.000 4.870
Re Ir Sn Ta
1 1 1 2
direct
0.000 0.000 0.000
0.500 0.500 0.500
0.000 0.000 0.500
0.000 0.500 0.000
0.500 0.000 0.000
```

Summary:
mass density: 12.98 Mg/m³
E_form: 1.5624 eV/atom
Fermi-level density of states: 0.774 states/eV/atom
space-group type: P4/mmm